VASP calculation (GGA+U) on crystalline BaTiMnBiO6 at its relaxed geometry.

Computed properties:
**Space-group type**: F-43m (216)
**Crystal system**: cubic
**Final energy**: -71.70 eV/cell
**DOS at the Fermi energy**: 1.640 states/eV/f.u.
**Magnetization**: 0.40 μB per atom

```
10
Lattice="0.000 3.995 3.995 3.995 0.000 3.995 3.995 3.995 0.000" Properties=species:S:1:pos:R:3 pbc="T T T"
Ba 0.000 0.000 0.000
Ti 1.998 1.998 1.998
Mn 5.993 5.993 5.993
Bi 3.995 3.995 3.995
O 1.998 1.998 0.028
O 1.998 0.028 1.998
O 3.967 1.998 1.998
O 0.028 1.998 1.998
O 1.998 3.967 1.998
O 1.998 1.998 3.967
```